# RhWO4 | the Alexandria database | PBE+U | relaxed
# Density in g/cm3: 8.406
# E_tot in eV per atom: -7.183
# Crystal system: monoclinic
# N(E_F) in states/eV/f.u.: 0.34
# Total magnetization in μB/cell: 2.00
data_RhWO4
_symmetry_space_group_name_H-M 'P 1 21/c 1'
_symmetry_Int_Tables_number 14
_cell_length_a 5.628
_cell_length_b 4.692
_cell_length_c 5.644
_cell_angle_alpha 90.00
_cell_angle_beta 111.62
_cell_angle_gamma 90.00
loop_
_symmetry_equiv_pos_as_xyz
'x,y,z'
'-x,-y,-z'
'-x,y+1/2,-z+1/2'
'x,-y+1/2,z+1/2'
loop_
_atom_site_label
_atom_site_type_symbol
_atom_site_fract_x
_atom_site_fract_y
_atom_site_fract_z
_atom_site_occupancy
Rh1 Rh 0.000 0.000 0.000 1
W1 W 0.500 0.000 0.500 1
O1 O 0.160 0.189 0.354 1
O2 O 0.354 0.695 0.653 1